Entry from the Alexandria database: a relaxed Sr2Zn6Pt3 crystal (PBE).

Values from the calculation:
The formation enthalpy at 0 K comes out at -5.77 eV per formula unit. The value obtained for the energy is -3.173 eV per atom. As for the space group: No. 189. The density is 8.6 g cm⁻³.

Cell: 7.7841 7.7841 4.2652 Å, 90.00 90.00 120.00°
With the nearest neighbours (Å) after each atom.
Positions (direct):
1 Sr 0.3333 0.6667 0.0000  6 Pt 3.25, 9 Zn 3.29-3.52
2 Sr 0.6667 0.3333 0.0000  6 Pt 3.25, 9 Zn 3.29-3.52
3 Zn 0.0000 0.2866 0.5000  3 Pt 2.63-2.64, 4 Zn 2.90
4 Zn 0.0000 0.8088 0.0000  2 Pt 2.57, 2 Zn 2.58
5 Zn 0.1912 0.1912 0.0000  2 Pt 2.57, 2 Zn 2.58
6 Zn 0.2866 0.0000 0.5000  3 Pt 2.63-2.64, 4 Zn 2.90
7 Zn 0.7134 0.7134 0.5000  3 Pt 2.63-2.64, 4 Zn 2.90
8 Zn 0.8088 0.0000 0.0000  2 Pt 2.57, 2 Zn 2.58
9 Pt 0.0000 0.6250 0.5000  5 Zn 2.57-2.64
10 Pt 0.3750 0.3750 0.5000  5 Zn 2.57-2.64
11 Pt 0.6250 0.0000 0.5000  5 Zn 2.57-2.64


Entry from the Alexandria database: a relaxed Y2AgS4 crystal (PBE).

Values from the calculation:
The value obtained for the energy is -5.955 eV per atom. For the distance to the lowest polymorph of the same formula, the calculation gives 55 meV/atom. Its uncorrected formation energy is -9.39 eV per formula unit. As for the space group: No. 11. The density is 4.6 g cm⁻³.

Cell: 6.7358 5.4503 8.3448 Å, 90.00 99.58 90.00°
With the nearest neighbours (Å) after each atom.
Positions (direct):
1 Y 0.1773 0.2500 0.3655  6 S 2.60-2.90
2 Y 0.2411 0.2500 0.9300  8 S 2.81-2.91
3 Y 0.7589 0.7500 0.0700  8 S 2.81-2.91
4 Y 0.8227 0.7500 0.6345  6 S 2.60-2.90
5 Ag 0.3028 0.7500 0.6151  3 S 2.44-2.52
6 Ag 0.6972 0.2500 0.3849  3 S 2.44-2.52
7 S 0.0355 0.7500 0.3781  1 Ag 2.44
8 S 0.0865 0.7500 0.9005  4 Y 2.60-2.91
9 S 0.4421 0.5126 0.2072  1 Ag 2.52, 1 S 2.59, 1 Y 2.79
10 S 0.4421 0.9874 0.2072  1 Ag 2.52, 1 S 2.59, 1 Y 2.79
11 S 0.5579 0.0126 0.7928  1 Ag 2.52, 1 S 2.59, 1 Y 2.79
12 S 0.5579 0.4874 0.7928  1 Ag 2.52, 1 S 2.59, 1 Y 2.79
13 S 0.9135 0.2500 0.0995  4 Y 2.60-2.91
14 S 0.9645 0.2500 0.6219  1 Ag 2.44